# 1
{
  "formula": "ErMg",
  "functional": "PBE",
  "state": "optimized geometry",
  "cell": [[5.3562, 0.0000, 0.0000], [0.0000, 13.1702, 0.0000], [0.0000, 0.0000, 6.1205]],
  "species": ["Er", "Er", "Er", "Er", "Er", "Er", "Er", "Er", "Mg", "Mg", "Mg", "Mg", "Mg", "Mg", "Mg", "Mg"],
  "fractional_positions": [[0.2500, 0.1124, 0.1102], [0.2500, 0.2500, 0.6096], [0.2500, 0.3876, 0.1102], [0.2500, 0.7500, 0.7359], [0.7500, 0.2500, 0.2641], [0.7500, 0.6124, 0.8898], [0.7500, 0.7500, 0.3904], [0.7500, 0.8876, 0.8898], [0.2500, 0.5033, 0.6334], [0.2500, 0.6341, 0.2130], [0.2500, 0.8659, 0.2130], [0.2500, 0.9967, 0.6334], [0.7500, 0.0033, 0.3666], [0.7500, 0.1341, 0.7870], [0.7500, 0.3659, 0.7870], [0.7500, 0.4967, 0.3666]],
  "spacegroup": "Pmmn, No. 59"
}

# 2
{
  "formula": "ErMg",
  "functional": "PBE",
  "state": "optimized geometry",
  "cell": [[3.3916, 0.0000, 0.0000], [-1.6958, 2.9372, 0.0000], [0.0000, 0.0000, 16.4513]],
  "species": ["Er", "Er", "Er", "Mg", "Mg", "Mg"],
  "fractional_positions": [[0.0000, 0.0000, 0.0000], [0.6667, 0.3333, 0.1731], [0.6667, 0.3333, 0.8269], [0.0000, 0.0000, 0.3427], [0.0000, 0.0000, 0.6573], [0.6667, 0.3333, 0.5000]],
  "spacegroup": "P-6m2, No. 187"
}

# 3
{
  "formula": "ErMg",
  "functional": "PBE",
  "state": "optimized geometry",
  "cell": [[6.7185, 0.0000, 0.0000], [0.0000, 5.9539, 0.0000], [0.0000, 0.0000, 5.4238]],
  "species": ["Er", "Er", "Er", "Er", "Mg", "Mg", "Mg", "Mg"],
  "fractional_positions": [[0.1352, 0.0768, 0.2500], [0.1352, 0.4232, 0.7500], [0.8648, 0.5768, 0.2500], [0.8648, 0.9232, 0.7500], [0.3707, 0.5903, 0.2500], [0.3707, 0.9097, 0.7500], [0.6293, 0.0903, 0.2500], [0.6293, 0.4097, 0.7500]],
  "spacegroup": "Pbcm, No. 57"
}

# 4
{
  "formula": "ErMg",
  "functional": "PBE",
  "state": "optimized geometry",
  "cell": [[5.4506, 0.0000, 0.0000], [0.0000, 8.4709, 2.9217], [0.0000, -8.4709, 2.9217]],
  "species": ["Er", "Er", "Er", "Er", "Er", "Mg", "Mg", "Mg", "Mg", "Mg"],
  "fractional_positions": [[0.0000, 0.0000, 0.0000], [0.0000, 0.4055, 0.6079], [0.0000, 0.6079, 0.4055], [0.5000, 0.0569, 0.2644], [0.5000, 0.2644, 0.0569], [0.0000, 0.1972, 0.7932], [0.0000, 0.7932, 0.1972], [0.5000, 0.4719, 0.8719], [0.5000, 0.6603, 0.6603], [0.5000, 0.8719, 0.4719]],
  "spacegroup": "Amm2, No. 38"
}

# 5
{
  "formula": "ErMg",
  "functional": "PBE",
  "state": "optimized geometry",
  "cell": [[5.3854, 0.0000, 0.0000], [0.0000, 9.9927, 0.0000], [0.0000, 0.0000, 6.0062]],
  "species": ["Er", "Er", "Er", "Er", "Er", "Er", "Mg", "Mg", "Mg", "Mg", "Mg", "Mg"],
  "fractional_positions": [[0.0000, 0.0748, 0.0000], [0.0000, 0.4083, 0.0508], [0.0000, 0.5917, 0.5508], [0.0000, 0.9252, 0.5000], [0.5000, 0.4103, 0.7080], [0.5000, 0.5897, 0.2080], [0.0000, 0.2507, 0.5281], [0.0000, 0.7493, 0.0281], [0.5000, 0.0830, 0.6850], [0.5000, 0.2387, 0.2115], [0.5000, 0.7613, 0.7115], [0.5000, 0.9170, 0.1850]],
  "spacegroup": "Pmc2_1, No. 26"
}

# 6
{
  "formula": "ErMg",
  "functional": "PBE",
  "state": "optimized geometry",
  "cell": [[5.4786, 0.0000, 0.0000], [0.0000, 10.1837, 0.0000], [0.0000, 0.0000, 5.8128]],
  "species": ["Er", "Er", "Er", "Er", "Er", "Er", "Mg", "Mg", "Mg", "Mg", "Mg", "Mg"],
  "fractional_positions": [[0.0000, 0.0757, 0.0000], [0.0000, 0.2605, 0.5159], [0.0000, 0.7395, 0.0159], [0.0000, 0.9243, 0.5000], [0.5000, 0.2555, 0.1664], [0.5000, 0.7445, 0.6664], [0.0000, 0.4177, 0.0041], [0.0000, 0.5823, 0.5041], [0.5000, 0.0857, 0.6593], [0.5000, 0.4187, 0.6777], [0.5000, 0.5813, 0.1777], [0.5000, 0.9143, 0.1593]],
  "spacegroup": "Pmc2_1, No. 26"
}

no.,uncorrected energy (Ry per atom)
1,-0.225
2,-0.222
3,-0.224
4,-0.224
5,-0.223
6,-0.223